A plane-wave DFT calculation with GGA-PBE was carried out for a geometry-optimized HfZrMnFe structure.

abc: 6.3228 6.3228 6.3228
angles: 90.00 90.00 90.00
Last column: nearest neighbours and their distance in Å.
Fractional coordinates of all 16 atoms:
Hf (0.0000, 0.0000, 0.0000)  4 Mn 2.74, 4 Fe 2.74
Hf (0.0000, 0.5000, 0.5000)  4 Mn 2.74, 4 Fe 2.74
Hf (0.5000, 0.0000, 0.5000)  4 Mn 2.74, 4 Fe 2.74
Hf (0.5000, 0.5000, 0.0000)  4 Mn 2.74, 4 Fe 2.74
Zr (0.0000, 0.0000, 0.5000)  4 Mn 2.74, 4 Fe 2.74
Zr (0.0000, 0.5000, 0.0000)  4 Mn 2.74, 4 Fe 2.74
Zr (0.5000, 0.0000, 0.0000)  4 Mn 2.74, 4 Fe 2.74
Zr (0.5000, 0.5000, 0.5000)  4 Mn 2.74, 4 Fe 2.74
Mn (0.2500, 0.2500, 0.7500)  4 Zr 2.74, 4 Hf 2.74
Mn (0.2500, 0.7500, 0.2500)  4 Zr 2.74, 4 Hf 2.74
Mn (0.7500, 0.2500, 0.2500)  4 Zr 2.74, 4 Hf 2.74
Mn (0.7500, 0.7500, 0.7500)  4 Zr 2.74, 4 Hf 2.74
Fe (0.2500, 0.2500, 0.2500)  4 Zr 2.74, 4 Hf 2.74
Fe (0.2500, 0.7500, 0.7500)  4 Zr 2.74, 4 Hf 2.74
Fe (0.7500, 0.2500, 0.7500)  4 Zr 2.74, 4 Hf 2.74
Fe (0.7500, 0.7500, 0.2500)  4 Zr 2.74, 4 Hf 2.74

## Properties
* density of states at the Fermi level: 3.93 states/eV/f.u.
* energy of formation from the pure elements: -0.163 eV/atom
* density: 9998 kg/m³
* E_tot: -147.1 eV for the cell shown

***

A plane-wave DFT calculation with GGA-PBE was carried out for a geometry-optimized La8PmPr6 structure.

abc: 8.8289 8.8289 8.8289
angles: 66.07 66.07 66.07
Last column: nearest neighbours and their distance in Å.
Fractional coordinates of all 15 atoms:
La (0.0736, 0.0736, 0.0736)  1 La 3.03, 3 Pr 3.28
La (0.1629, 0.2667, 0.5853)  6 La 3.54-3.89, 3 Pr 3.56-3.86, 1 Pm 3.95
La (0.2667, 0.5853, 0.1629)  6 La 3.54-3.89, 3 Pr 3.56-3.86, 1 Pm 3.95
La (0.4147, 0.8371, 0.7333)  6 La 3.54-3.89, 3 Pr 3.56-3.86, 1 Pm 3.95
La (0.5853, 0.1629, 0.2667)  6 La 3.54-3.89, 3 Pr 3.56-3.86, 1 Pm 3.95
La (0.7333, 0.4147, 0.8371)  6 La 3.54-3.89, 3 Pr 3.56-3.86, 1 Pm 3.95
La (0.8371, 0.7333, 0.4147)  6 La 3.54-3.89, 3 Pr 3.56-3.86, 1 Pm 3.95
La (0.9264, 0.9264, 0.9264)  1 La 3.03, 3 Pr 3.28
Pm (0.5000, 0.5000, 0.5000)  6 Pr 3.58, 6 La 3.95
Pr (0.0602, 0.6054, 0.7630)  3 La 3.28-3.62, 1 Pm 3.58
Pr (0.2370, 0.9398, 0.3946)  3 La 3.28-3.62, 1 Pm 3.58
Pr (0.3946, 0.2370, 0.9398)  3 La 3.28-3.62, 1 Pm 3.58
Pr (0.6054, 0.7630, 0.0602)  3 La 3.28-3.62, 1 Pm 3.58
Pr (0.7630, 0.0602, 0.6054)  3 La 3.28-3.62, 1 Pm 3.58
Pr (0.9398, 0.3946, 0.2370)  3 La 3.28-3.62, 1 Pm 3.58

## Properties
* density of states at the Fermi level: 24.38 states/eV/f.u.
* energy of formation from the pure elements: 0.122 eV/atom
* density: 6340 kg/m³
* relative energy among the computed polymorphs: 0.1074 eV/atom
* E_tot: -71.0 eV for the cell shown

***

A plane-wave DFT calculation with GGA-PBE was carried out for a geometry-optimized LiPuAg2Sb2 structure.

abc: 4.6292 4.6292 7.2879
angles: 90.00 90.00 120.00
Last column: nearest neighbours and their distance in Å.
Fractional coordinates of all 6 atoms:
Li (0.0000, 0.0000, 0.0000)  6 Ag 2.88
Pu (0.0000, 0.0000, 0.5000)  6 Sb 3.17
Ag (0.3333, 0.6667, 0.1454)  4 Sb 2.81-3.00, 3 Li 2.88
Ag (0.6667, 0.3333, 0.8546)  4 Sb 2.81-3.00, 3 Li 2.88
Sb (0.3333, 0.6667, 0.7334)  4 Ag 2.81-3.00
Sb (0.6667, 0.3333, 0.2666)  4 Ag 2.81-3.00

## Properties
* density of states at the Fermi level: 14.19 states/eV/f.u.
* density: 8719 kg/m³
* E_tot: -32.6 eV for the cell shown
* ΔE_f (raw): -0.397 eV per atom

***

A plane-wave DFT calculation with GGA-PBE was carried out for a geometry-optimized PuTlAgTe3 structure.

abc: 8.0031 8.0031 11.3504
angles: 90.00 90.00 147.82
Last column: nearest neighbours and their distance in Å.
Fractional coordinates of all 12 atoms:
Pu (0.0000, 0.0000, 0.0000)  6 Te 3.08-3.09
Pu (0.0000, 0.0000, 0.5000)  6 Te 3.08-3.09
Tl (0.2386, 0.7614, 0.7500)  8 Te 3.57-3.88, 2 Ag 3.84
Tl (0.7614, 0.2386, 0.2500)  8 Te 3.57-3.88, 2 Ag 3.84
Ag (0.4656, 0.5344, 0.2500)  4 Te 2.78-2.83
Ag (0.5344, 0.4656, 0.7500)  4 Te 2.78-2.83
Te (0.0795, 0.9205, 0.2500)  2 Ag 2.83, 2 Pu 3.09
Te (0.3650, 0.6350, 0.0461)  1 Ag 2.78, 2 Pu 3.08
Te (0.3650, 0.6350, 0.4539)  1 Ag 2.78, 2 Pu 3.08
Te (0.6350, 0.3650, 0.5461)  1 Ag 2.78, 2 Pu 3.08
Te (0.6350, 0.3650, 0.9539)  1 Ag 2.78, 2 Pu 3.08
Te (0.9205, 0.0795, 0.7500)  2 Ag 2.83, 2 Pu 3.09

## Properties
* density of states at the Fermi level: 11.97 states/eV/f.u.
* density: 8055 kg/m³
* E_tot: -64.6 eV for the cell shown
* ΔE_f (raw): -0.553 eV per atom

***

A plane-wave DFT calculation with GGA-PBE was carried out for a geometry-optimized LaMg2Tl structure.

abc: 5.3531 5.3531 7.5506
angles: 90.00 90.00 90.00
Last column: nearest neighbours and their distance in Å.
Fractional coordinates of all 8 atoms:
La (0.0000, 0.0000, 0.0000)  4 Tl 3.28, 4 Mg 3.28
La (0.5000, 0.5000, 0.5000)  4 Tl 3.28, 4 Mg 3.28
Mg (0.0000, 0.0000, 0.5000)  4 Tl 3.28, 4 Mg 3.28
Mg (0.0000, 0.5000, 0.7500)  4 La 3.28, 4 Mg 3.28
Mg (0.5000, 0.0000, 0.2500)  4 La 3.28, 4 Mg 3.28
Mg (0.5000, 0.5000, 0.0000)  4 Tl 3.28, 4 Mg 3.28
Tl (0.0000, 0.5000, 0.2500)  4 La 3.28, 4 Mg 3.28
Tl (0.5000, 0.0000, 0.7500)  4 La 3.28, 4 Mg 3.28

## Properties
* density of states at the Fermi level: 1.03 states/eV/f.u.
* energy of formation from the pure elements: -0.225 eV/atom
* density: 6015 kg/m³
* relative energy among the computed polymorphs: 0.0000 eV/atom
* E_tot: -22.8 eV for the cell shown

***

A plane-wave DFT calculation with GGA-PBE was carried out for a geometry-optimized FeGe2AsRu structure.

abc: 4.4361 4.4361 4.6163
angles: 90.00 90.00 90.00
Last column: nearest neighbours and their distance in Å.
Fractional coordinates of all 5 atoms:
Fe (0.0000, 0.0000, 0.0000)  4 Ge 2.22, 2 Ru 2.31
Ge (0.0000, 0.5000, 0.0000)  2 Fe 2.22
Ge (0.5000, 0.0000, 0.0000)  2 Fe 2.22
As (0.5000, 0.5000, 0.5000)  4 Ru 3.14, 8 Ge 3.20
Ru (0.0000, 0.0000, 0.5000)  2 Fe 2.31

## Properties
* density of states at the Fermi level: 4.69 states/eV/f.u.
* energy of formation from the pure elements: 0.646 eV/atom
* density: 6893 kg/m³
* E_tot: -28.4 eV for the cell shown

***

A plane-wave DFT calculation with GGA-PBE was carried out for a geometry-optimized Ca2P3O9 structure.

abc: 6.7959 6.7959 9.6544
angles: 90.00 90.00 120.00
Last column: nearest neighbours and their distance in Å.
Fractional coordinates of all 28 atoms:
Ca (0.3333, 0.6667, 0.0280)  6 O 2.42-2.48
Ca (0.3333, 0.6667, 0.4720)  6 O 2.42-2.48
Ca (0.6667, 0.3333, 0.5280)  6 O 2.42-2.48
Ca (0.6667, 0.3333, 0.9720)  6 O 2.42-2.48
P (0.0125, 0.7498, 0.7500)  4 O 1.51-1.63
P (0.2502, 0.2627, 0.7500)  4 O 1.51-1.63
P (0.2627, 0.0125, 0.2500)  4 O 1.51-1.63
P (0.7373, 0.9875, 0.7500)  4 O 1.51-1.63
P (0.7498, 0.7373, 0.2500)  4 O 1.51-1.63
P (0.9875, 0.2502, 0.2500)  4 O 1.51-1.63
O (0.0130, 0.7921, 0.2500)  2 P 1.61-1.63
O (0.0318, 0.6501, 0.6140)  1 P 1.51
O (0.0318, 0.6501, 0.8860)  1 P 1.51
O (0.2079, 0.2209, 0.2500)  2 P 1.61-1.63
O (0.2209, 0.0130, 0.7500)  2 P 1.61-1.63
O (0.3499, 0.3818, 0.6140)  1 P 1.51
O (0.3499, 0.3818, 0.8860)  1 P 1.51
O (0.3818, 0.0318, 0.1140)  1 P 1.51
O (0.3818, 0.0318, 0.3860)  1 P 1.51
O (0.6182, 0.9682, 0.6140)  1 P 1.51
O (0.6182, 0.9682, 0.8860)  1 P 1.51
O (0.6501, 0.6182, 0.1140)  1 P 1.51
O (0.6501, 0.6182, 0.3860)  1 P 1.51
O (0.7791, 0.9870, 0.2500)  2 P 1.61-1.63
O (0.7921, 0.7791, 0.7500)  2 P 1.61-1.63
O (0.9682, 0.3499, 0.1140)  1 P 1.51
O (0.9682, 0.3499, 0.3860)  1 P 1.51
O (0.9870, 0.2079, 0.7500)  2 P 1.61-1.63

## Properties
* density of states at the Fermi level: 2.68 states/eV/f.u.
* density: 2727 kg/m³
* E_tot: -196.6 eV for the cell shown
* ΔE_f (raw): -2.390 eV per atom

***

A plane-wave DFT calculation with GGA-PBE was carried out for a geometry-optimized VAg2Te structure.

abc: 7.9838 7.9838 5.3723
angles: 90.00 90.00 90.00
Last column: nearest neighbours and their distance in Å.
Fractional coordinates of all 16 atoms:
V (0.0000, 0.0000, 0.0000)  2 Te 2.69, 4 Ag 2.88
V (0.0000, 0.5000, 0.2500)  2 Te 2.69, 4 Ag 2.88
V (0.5000, 0.0000, 0.7500)  2 Te 2.69, 4 Ag 2.88
V (0.5000, 0.5000, 0.5000)  2 Te 2.69, 4 Ag 2.88
Ag (0.2469, 0.2500, 0.1250)  2 Ag 2.69, 2 V 2.88, 2 Te 2.92
Ag (0.2500, 0.7469, 0.3750)  2 Ag 2.69, 2 V 2.88, 2 Te 2.92
Ag (0.2500, 0.7531, 0.8750)  2 Ag 2.69, 2 V 2.88, 2 Te 2.92
Ag (0.2531, 0.2500, 0.6250)  2 Ag 2.69, 2 V 2.88, 2 Te 2.92
Ag (0.7469, 0.7500, 0.6250)  2 Ag 2.69, 2 V 2.88, 2 Te 2.92
Ag (0.7500, 0.2469, 0.8750)  2 Ag 2.69, 2 V 2.88, 2 Te 2.92
Ag (0.7500, 0.2531, 0.3750)  2 Ag 2.69, 2 V 2.88, 2 Te 2.92
Ag (0.7531, 0.7500, 0.1250)  2 Ag 2.69, 2 V 2.88, 2 Te 2.92
Te (0.0000, 0.0000, 0.5000)  2 V 2.69, 4 Ag 2.92
Te (0.0000, 0.5000, 0.7500)  2 V 2.69, 4 Ag 2.92
Te (0.5000, 0.0000, 0.2500)  2 V 2.69, 4 Ag 2.92
Te (0.5000, 0.5000, 0.0000)  2 V 2.69, 4 Ag 2.92

## Properties
* density of states at the Fermi level: 3.88 states/eV/f.u.
* density: 7648 kg/m³
* E_tot: -64.8 eV for the cell shown
* ΔE_f (raw): 0.442 eV per atom

***

A plane-wave DFT calculation with GGA-PBE was carried out for a geometry-optimized DyLuThTc structure.

abc: 7.3562 7.3562 7.3562
angles: 90.00 90.00 90.00
Last column: nearest neighbours and their distance in Å.
Fractional coordinates of all 16 atoms:
Dy (0.0000, 0.0000, 0.0000)  4 Tc 3.19, 4 Lu 3.19
Dy (0.0000, 0.5000, 0.5000)  4 Tc 3.19, 4 Lu 3.19
Dy (0.5000, 0.0000, 0.5000)  4 Tc 3.19, 4 Lu 3.19
Dy (0.5000, 0.5000, 0.0000)  4 Tc 3.19, 4 Lu 3.19
Lu (0.2500, 0.2500, 0.2500)  4 Th 3.19, 4 Dy 3.19
Lu (0.2500, 0.7500, 0.7500)  4 Th 3.19, 4 Dy 3.19
Lu (0.7500, 0.2500, 0.7500)  4 Th 3.19, 4 Dy 3.19
Lu (0.7500, 0.7500, 0.2500)  4 Th 3.19, 4 Dy 3.19
Th (0.0000, 0.0000, 0.5000)  4 Tc 3.19, 4 Lu 3.19
Th (0.0000, 0.5000, 0.0000)  4 Tc 3.19, 4 Lu 3.19
Th (0.5000, 0.0000, 0.0000)  4 Tc 3.19, 4 Lu 3.19
Th (0.5000, 0.5000, 0.5000)  4 Tc 3.19, 4 Lu 3.19
Tc (0.2500, 0.2500, 0.7500)  4 Th 3.19, 4 Dy 3.19
Tc (0.2500, 0.7500, 0.2500)  4 Th 3.19, 4 Dy 3.19
Tc (0.7500, 0.2500, 0.2500)  4 Th 3.19, 4 Dy 3.19
Tc (0.7500, 0.7500, 0.7500)  4 Th 3.19, 4 Dy 3.19

## Properties
* density of states at the Fermi level: 6.02 states/eV/f.u.
* energy of formation from the pure elements: 0.156 eV/atom
* density: 11138 kg/m³
* E_tot: -105.1 eV for the cell shown

***

A plane-wave DFT calculation with GGA-PBE was carried out for a geometry-optimized LiZnTe2 structure.

abc: 3.4614 4.4040 7.1657
angles: 90.00 90.02 90.00
Last column: nearest neighbours and their distance in Å.
Fractional coordinates of all 4 atoms:
Li (0.0000, 0.0000, 0.0000)  5 Te 2.85-2.90
Zn (0.0018, 0.5000, 0.3959)  4 Te 2.65-2.71
Te (0.0009, 0.0000, 0.6024)  2 Zn 2.65, 1 Li 2.85
Te (0.5008, 0.5000, 0.1045)  2 Zn 2.71, 4 Li 2.90

## Properties
* density of states at the Fermi level: 1.05 states/eV/f.u.
* density: 4979 kg/m³
* E_tot: -11.5 eV for the cell shown
* ΔE_f (raw): -0.514 eV per atom